(1)
A relaxed structure of BeTc4Sb. Source: the Alexandria database, functional GGA-PBE.

Cell lengths 5.161, 5.161, 5.161 Å; angles 60.00, 60.00, 60.00 degrees
Sites, in units of the cell vectors:
1 Be 0.000 0.000 0.000
2 Tc 0.375 0.375 0.375
3 Tc 0.375 0.375 0.876
4 Tc 0.375 0.876 0.375
5 Tc 0.876 0.375 0.375
6 Sb 0.750 0.750 0.750

Summary:
As for the crystal system: cubic. The formation energy (no corrections) is 0.60 eV/atom. The space group is F-43m, No. 216. The calculated volume is 97.2 Å³ per cell. Its theoretical density is 8.9 g cm⁻³.

(2)
A relaxed structure of BeTc2Sb. Source: the Alexandria database, functional GGA-PBE.

Cell lengths 9.161, 9.161, 9.161 Å; angles 155.08, 155.08, 35.53 degrees
Sites, in units of the cell vectors:
1 Be 0.000 0.000 0.000
2 Be 0.750 0.250 0.500
3 Tc 0.042 0.625 0.917
4 Tc 0.375 0.292 0.417
5 Tc 0.708 0.125 0.083
6 Tc 0.875 0.958 0.583
7 Sb 0.250 0.750 0.500
8 Sb 0.500 0.500 0.000

Summary:
As for the crystal system: tetragonal. The formation energy (no corrections) is 0.40 eV/atom. The space group is I-42d, No. 122. The calculated volume is 136.4 Å³ per cell. Its theoretical density is 8.0 g cm⁻³. Its energy relative to the lowest polymorph listed for this composition is 387 meV/atom.

(3)
A relaxed structure of BeTcSb3. Source: the Alexandria database, functional GGA-PBE.

Cell lengths 4.835, 4.835, 4.835 Å; angles 90.00, 90.00, 90.00 degrees
Sites, in units of the cell vectors:
1 Be 0.000 0.000 0.000
2 Tc 0.500 0.500 0.500
3 Sb 0.000 0.000 0.500
4 Sb 0.000 0.500 0.000
5 Sb 0.500 0.000 0.000

Summary:
As for the crystal system: cubic. The formation energy (no corrections) is 1.01 eV/atom. The space group is Pm-3m, No. 221. The calculated volume is 113.0 Å³ per cell. Its theoretical density is 6.9 g cm⁻³. Its energy relative to the lowest polymorph listed for this composition is 89 meV/atom.

(4)
A relaxed structure of BeTcSb3. Source: the Alexandria database, functional GGA-PBE.

Cell lengths 5.143, 5.143, 5.143 Å; angles 90.00, 90.00, 90.00 degrees
Sites, in units of the cell vectors:
1 Be 0.000 0.000 0.000
2 Tc 0.500 0.500 0.500
3 Sb 0.000 0.500 0.500
4 Sb 0.500 0.000 0.500
5 Sb 0.500 0.500 0.000

Summary:
As for the crystal system: cubic. The formation energy (no corrections) is 0.92 eV/atom. The space group is Pm-3m, No. 221. The calculated volume is 136.0 Å³ per cell. Its theoretical density is 5.8 g cm⁻³. Its energy relative to the lowest polymorph listed for this composition is 0 meV/atom.

(5)
A relaxed structure of BeTc2Sb. Source: the Alexandria database, functional GGA-PBE.

Cell lengths 4.777, 4.777, 4.475 Å; angles 107.52, 107.52, 38.01 degrees
Sites, in units of the cell vectors:
1 Be 0.000 0.000 0.000
2 Tc 0.272 0.272 0.879
3 Tc 0.515 0.515 0.559
4 Sb 0.756 0.756 0.347

Summary:
As for the crystal system: monoclinic. The formation energy (no corrections) is 0.21 eV/atom. The space group is Cm, No. 8. The calculated volume is 59.6 Å³ per cell. Its theoretical density is 9.1 g cm⁻³. Its energy relative to the lowest polymorph listed for this composition is 197 meV/atom.

(6)
A relaxed structure of BeTc2Sb. Source: the Alexandria database, functional GGA-PBE.

Cell lengths 4.311, 4.311, 3.165 Å; angles 90.00, 90.00, 90.00 degrees
Sites, in units of the cell vectors:
1 Be 0.000 0.000 0.000
2 Tc 0.000 0.500 0.500
3 Tc 0.500 0.000 0.500
4 Sb 0.500 0.500 0.000

Summary:
As for the crystal system: tetragonal. The formation energy (no corrections) is 0.26 eV/atom. The space group is P4/mmm, No. 123. The calculated volume is 58.8 Å³ per cell. Its theoretical density is 9.2 g cm⁻³. Its energy relative to the lowest polymorph listed for this composition is 242 meV/atom.

(7)
A relaxed structure of BeTc2Sb. Source: the Alexandria database, functional GGA-PBE.

Cell lengths 4.780, 4.780, 4.780 Å; angles 131.72, 131.72, 70.67 degrees
Sites, in units of the cell vectors:
1 Be 0.000 0.000 0.000
2 Tc 0.500 0.500 0.000
3 Tc 0.750 0.250 0.500
4 Sb 0.250 0.750 0.500

Summary:
As for the crystal system: tetragonal. The formation energy (no corrections) is 0.30 eV/atom. The space group is I-4m2, No. 119. The calculated volume is 59.6 Å³ per cell. Its theoretical density is 9.1 g cm⁻³. Its energy relative to the lowest polymorph listed for this composition is 285 meV/atom.

(8)
A relaxed structure of BeTc3Sb. Source: the Alexandria database, functional GGA-PBE.

Cell lengths 4.241, 4.241, 4.241 Å; angles 90.00, 90.00, 90.00 degrees
Sites, in units of the cell vectors:
1 Be 0.000 0.000 0.000
2 Tc 0.000 0.000 0.500
3 Tc 0.000 0.500 0.000
4 Tc 0.500 0.000 0.000
5 Sb 0.500 0.500 0.500

Summary:
As for the crystal system: cubic. The formation energy (no corrections) is 0.54 eV/atom. The space group is Pm-3m, No. 221. The calculated volume is 76.3 Å³ per cell. Its theoretical density is 9.2 g cm⁻³. Its energy relative to the lowest polymorph listed for this composition is 0 meV/atom.

(9)
A relaxed structure of BeTc2Sb. Source: the Alexandria database, functional GGA-PBE.

Cell lengths 4.390, 4.390, 4.390 Å; angles 60.00, 60.00, 60.00 degrees
Sites, in units of the cell vectors:
1 Be 0.000 0.000 0.000
2 Tc 0.250 0.250 0.250
3 Tc 0.500 0.500 0.500
4 Sb 0.750 0.750 0.750

Summary:
As for the crystal system: cubic. The formation energy (no corrections) is 0.39 eV/atom. The space group is F-43m, No. 216. The calculated volume is 59.8 Å³ per cell. Its theoretical density is 9.1 g cm⁻³. Its energy relative to the lowest polymorph listed for this composition is 370 meV/atom.

(10)
A relaxed structure of BeTc2Sb. Source: the Alexandria database, functional GGA-PBE.

Cell lengths 3.134, 3.134, 6.016 Å; angles 90.00, 90.00, 90.00 degrees
Sites, in units of the cell vectors:
1 Be 0.000 0.000 0.000
2 Tc 0.000 0.000 0.581
3 Tc 0.500 0.500 0.861
4 Sb 0.500 0.500 0.310

Summary:
As for the crystal system: tetragonal. The formation energy (no corrections) is 0.02 eV/atom. The space group is P4mm, No. 99. The calculated volume is 59.1 Å³ per cell. Its theoretical density is 9.2 g cm⁻³. Its energy relative to the lowest polymorph listed for this composition is 0 meV/atom.

(11)
A relaxed structure of BeTc2Sb. Source: the Alexandria database, functional GGA-PBE.

Cell lengths 5.074, 5.074, 5.074 Å; angles 143.06, 130.57, 63.28 degrees
Sites, in units of the cell vectors:
1 Be 0.000 0.000 0.000
2 Tc 0.522 0.522 0.000
3 Tc 0.784 0.284 0.500
4 Sb 0.260 0.760 0.500

Summary:
As for the crystal system: orthorhombic. The formation energy (no corrections) is 0.24 eV/atom. The space group is Imm2, No. 44. The calculated volume is 58.9 Å³ per cell. Its theoretical density is 9.2 g cm⁻³. Its energy relative to the lowest polymorph listed for this composition is 228 meV/atom.

(12)
A relaxed structure of BeTc2Sb. Source: the Alexandria database, functional GGA-PBE.

Cell lengths 4.353, 4.353, 4.353 Å; angles 60.00, 60.00, 60.00 degrees
Sites, in units of the cell vectors:
1 Be 0.000 0.000 0.000
2 Tc 0.250 0.250 0.250
3 Tc 0.750 0.750 0.750
4 Sb 0.500 0.500 0.500

Summary:
As for the crystal system: cubic. The formation energy (no corrections) is 0.18 eV/atom. The space group is Fm-3m, No. 225. The calculated volume is 58.3 Å³ per cell. Its theoretical density is 9.3 g cm⁻³. Its energy relative to the lowest polymorph listed for this composition is 165 meV/atom.